DFT (SCAN) results for LiAgAs2S at its PBEsol-relaxed geometry.

Structure (extended XYZ):
```
5
Lattice="4.873 0.000 0.000 0.000 4.873 0.000 0.000 0.000 4.690" Properties=species:S:1:pos:R:3 pbc="T T T"
Li 0.000 0.000 0.000
Ag 2.436 2.436 0.000
As 0.000 2.436 2.345
As 2.436 0.000 2.345
S 2.436 2.436 2.345
```


DFT (SCAN) results for LiSi2AgAs at its PBEsol-relaxed geometry.

Structure (extended XYZ):
```
5
Lattice="4.754 0.000 0.000 0.000 4.754 0.000 0.000 0.000 4.476" Properties=species:S:1:pos:R:3 pbc="T T T"
Li 0.000 0.000 0.000
Si 0.000 2.377 2.238
Si 2.377 0.000 2.238
Ag 2.377 2.377 0.000
As 0.000 0.000 2.238
```


Density of states at the Fermi level / states/eV/atom: 0.687, 0.520
Total magnetic moment / μB/atom: 0.00, 0.00
E / eV/cell: -81.48, -70.30